La8PSe3S4, optimized geometry, DFT GGA-PBE; formation energy from raw total energies = -2.050 eV/atom; uncorrected energy = -104.586 eV per cell
1.0
4.223 2.438 6.888
-4.223 2.438 6.888
0.000 -4.876 6.888
La P Se S
8 1 3 4
Cartesian
-2.178 -1.258 11.995
0.000 0.000 5.043
0.000 -2.515 8.669
-2.178 1.258 8.669
2.178 -1.258 11.995
0.000 2.515 11.995
0.000 0.000 15.621
2.178 1.258 8.669
0.000 0.000 0.000
-2.111 -1.219 6.888
-2.111 1.219 13.776
0.000 2.438 6.888
-4.223 0.000 10.332
-2.111 1.219 3.444
2.111 1.219 3.444
0.000 0.000 10.332